No. 1
An optimized crystal structure of AlHg2Sb, computed with PBE.

```
AlHg2Sb
1.0
4.0960 0.0000 0.0000
0.0000 5.2176 0.0000
0.0000 0.0000 8.9201
Al Hg Sb
2 4 2
Direct
0.0000 0.0000 0.0000
0.5000 0.5000 0.0000
0.0000 0.5000 0.2221
0.0000 0.5000 0.7779
0.5000 0.0000 0.2221
0.5000 0.0000 0.7779
0.0000 0.0000 0.5000
0.5000 0.5000 0.5000
```

Results
For the calculated volume, the calculation gives 191 Å³ per cell. The calculation puts the energy relative to the elements, uncorrected at 17.5 kJ per mole of atoms.

=====

No. 2
An optimized crystal structure of LaYScAg, computed with PBE.

```
LaYScAg
1.0
7.6209 0.0000 0.0000
0.0000 7.6209 0.0000
0.0000 0.0000 7.6209
La Y Sc Ag
4 4 4 4
Direct
0.0000 0.0000 0.0000
0.0000 0.5000 0.5000
0.5000 0.0000 0.5000
0.5000 0.5000 0.0000
0.0000 0.0000 0.5000
0.0000 0.5000 0.0000
0.5000 0.0000 0.0000
0.5000 0.5000 0.5000
0.2500 0.2500 0.7500
0.2500 0.7500 0.2500
0.7500 0.2500 0.2500
0.7500 0.7500 0.7500
0.2500 0.2500 0.2500
0.2500 0.7500 0.7500
0.7500 0.2500 0.7500
0.7500 0.7500 0.2500
```

Results
For the calculated volume, the calculation gives 443 Å³ per cell. As for the calculated formation energy: 0.040 eV per atom.